A plane-wave DFT calculation with PBE-GGA was carried out for a geometry-optimized YAl2Os structure.

Cell: 4.6300 4.6300 4.6300 Å, 119.77 119.77 90.41°
Sites, in units of the cell vectors:
Al: 0.0000 0.0000 0.0000
Al: 0.7500 0.2500 0.5000
Y: 0.2500 0.7500 0.5000
Os: 0.5000 0.5000 0.0000

SG = I-4m2 (119)
Energy = -6.44 eV per atom
Size of the total moment = 0.00 μB per atom
Formation energy from the elements = -144 meV per atom